# 1
! PBE La2AlFe, relaxed; values from VASP
! **N(E_F)**: 1.4445 states/eV per atom
! **Energy of formation**: 107 meV per atom
! **Total magnetic moment**: 2.11 μB/f.u.
&SYSTEM
  ibrav = 0, nat = 4, ntyp = 3
/
ATOMIC_SPECIES
Al 26.98 Al.upf
Fe 55.84 Fe.upf
La 138.91 La.upf
CELL_PARAMETERS angstrom
5.7172 0.1364 0.0000
2.0225 5.3493 0.0000
-3.8699 -2.7428 3.1947
ATOMIC_POSITIONS angstrom
Al 3.8699 2.7428 0.0000
Fe 2.8586 0.0682 1.5974
La 0.0000 0.0000 0.0000
La 1.0113 2.6746 1.5974

=====

# 2
! PBE LaAl2Fe, relaxed; values from VASP
! **N(E_F)**: 0.8554 states/eV per atom
! **Energy of formation**: -225 meV per atom
! **Total magnetic moment**: 0.00 μB/f.u.
&SYSTEM
  ibrav = 0, nat = 4, ntyp = 3
/
ATOMIC_SPECIES
Al 26.98 Al.upf
Fe 55.84 Fe.upf
La 138.91 La.upf
CELL_PARAMETERS angstrom
3.0558 0.0000 0.0000
0.0000 3.0561 0.0000
0.0000 0.0000 7.6810
ATOMIC_POSITIONS angstrom
Al 0.0000 0.0000 0.6055
Al 0.0000 0.0000 3.2350
Fe 1.5279 1.5281 1.9203
La 1.5279 1.5281 5.7608

=====

# 3
! PBE LaAl2Fe, relaxed; values from VASP
! **N(E_F)**: 1.1178 states/eV per atom
! **Energy of formation**: 128 meV per atom
! **Total magnetic moment**: 1.67 μB/f.u.
&SYSTEM
  ibrav = 0, nat = 8, ntyp = 3
/
ATOMIC_SPECIES
Al 26.98 Al.upf
Fe 55.84 Fe.upf
La 138.91 La.upf
CELL_PARAMETERS angstrom
4.8938 0.0000 0.0000
0.0000 4.8938 0.0000
2.4469 2.4469 8.2407
ATOMIC_POSITIONS angstrom
Al 2.4461 1.2235 2.0602
Al 2.4477 3.6704 2.0602
Al 3.6704 4.8946 6.1805
Al 6.1173 4.8930 6.1805
Fe 2.4469 2.4469 0.0000
Fe 2.4469 4.8938 4.1204
La 0.0000 0.0000 0.0000
La 4.8938 2.4469 4.1204

=====

# 4
! PBE LaAlFe, relaxed; values from VASP
! **N(E_F)**: 0.6544 states/eV per atom
! **Energy of formation**: -141 meV per atom
! **Total magnetic moment**: 0.00 μB/f.u.
&SYSTEM
  ibrav = 0, nat = 12, ntyp = 3
/
ATOMIC_SPECIES
Fe 55.84 Fe.upf
Al 26.98 Al.upf
La 138.91 La.upf
CELL_PARAMETERS angstrom
-5.9219 2.6421 -0.1192
0.6755 -6.4028 0.9646
0.3166 0.9986 6.4067
ATOMIC_POSITIONS angstrom
Fe -3.2558 0.8129 3.3232
Fe -4.7933 -2.7532 0.6660
Fe -1.6741 -3.5750 3.9289
Fe -0.1365 -0.0089 6.5861
Al -1.4017 0.9093 1.5720
Al -0.5672 -4.9925 5.7397
Al -3.5281 -3.6714 5.6801
Al -4.3627 2.2304 1.5125
La -4.2020 -1.2910 3.6964
La -3.5307 0.3488 6.6966
La -0.7279 -1.4711 3.5557
La -1.3992 -3.1109 0.5555

=====

# 5
! PBE La2AlFe, relaxed; values from VASP
! **N(E_F)**: 1.1131 states/eV per atom
! **Energy of formation**: 40 meV per atom
! **Total magnetic moment**: 0.00 μB/f.u.
&SYSTEM
  ibrav = 0, nat = 4, ntyp = 3
/
ATOMIC_SPECIES
Al 26.98 Al.upf
Fe 55.84 Fe.upf
La 138.91 La.upf
CELL_PARAMETERS angstrom
-0.6535 3.1131 -0.5838
-2.8813 -0.3367 1.4296
3.6556 2.2483 7.8972
ATOMIC_POSITIONS angstrom
Al 2.1004 1.2918 4.5375
Fe 0.7913 2.9618 5.9505
La 3.3480 2.0591 7.2327
La -0.6355 2.0843 2.8681

=====

# 6
! PBE LaAl2Fe, relaxed; values from VASP
! **N(E_F)**: 1.2890 states/eV per atom
! **Energy of formation**: 20 meV per atom
! **Total magnetic moment**: 1.52 μB/f.u.
&SYSTEM
  ibrav = 0, nat = 4, ntyp = 3
/
ATOMIC_SPECIES
Al 26.98 Al.upf
Fe 55.84 Fe.upf
La 138.91 La.upf
CELL_PARAMETERS angstrom
5.8913 -0.0078 0.0004
3.0181 5.0595 -0.0004
-3.8201 -3.6452 2.6130
ATOMIC_POSITIONS angstrom
Al 8.5237 4.8329 0.0000
Al 4.8404 2.7445 0.0000
Fe 3.2630 -0.5636 1.3067
La 1.8264 1.9701 1.3063

=====

# 7
! PBE LaAl2Fe, relaxed; values from VASP
! **N(E_F)**: 1.1330 states/eV per atom
! **Energy of formation**: -225 meV per atom
! **Total magnetic moment**: 0.02 μB/f.u.
&SYSTEM
  ibrav = 0, nat = 4, ntyp = 3
/
ATOMIC_SPECIES
La 138.91 La.upf
Al 26.98 Al.upf
Fe 55.84 Fe.upf
CELL_PARAMETERS angstrom
4.1791 -0.0071 0.0113
2.0954 3.6158 0.0113
2.0782 1.1952 5.4966
ATOMIC_POSITIONS angstrom
La 6.2645 3.6029 4.1394
Al 6.2730 3.6078 0.8299
Al 4.1779 2.4028 1.9523
Fe 2.0882 1.2010 1.3798

=====

# 8
! PBE LaAl2Fe, relaxed; values from VASP
! **N(E_F)**: 0.8606 states/eV per atom
! **Energy of formation**: 21 meV per atom
! **Total magnetic moment**: 2.02 μB/f.u.
&SYSTEM
  ibrav = 0, nat = 4, ntyp = 3
/
ATOMIC_SPECIES
Al 26.98 Al.upf
Fe 55.84 Fe.upf
La 138.91 La.upf
CELL_PARAMETERS angstrom
4.7623 0.0000 0.0000
2.3812 4.1243 0.0000
2.3812 1.3748 3.8884
ATOMIC_POSITIONS angstrom
Al 0.0000 0.0000 0.0000
Al 2.3812 1.3748 0.9721
Fe 4.7623 2.7495 1.9442
La 7.1435 4.1243 2.9163

=====

# 9
! PBE LaAl2Fe, relaxed; values from VASP
! **N(E_F)**: 1.1317 states/eV per atom
! **Energy of formation**: 70 meV per atom
! **Total magnetic moment**: 1.78 μB/f.u.
&SYSTEM
  ibrav = 0, nat = 4, ntyp = 3
/
ATOMIC_SPECIES
Al 26.98 Al.upf
Fe 55.84 Fe.upf
La 138.91 La.upf
CELL_PARAMETERS angstrom
4.1274 0.0000 0.0000
0.0000 4.1119 0.0000
0.0000 0.0000 4.7650
ATOMIC_POSITIONS angstrom
Al 0.0000 0.0000 0.0000
Al 2.0637 2.0559 0.0000
Fe 2.0637 0.0000 2.3825
La 0.0000 2.0559 2.3825

=====

# 10
! PBE LaAlFe, relaxed; values from VASP
! **N(E_F)**: 1.9185 states/eV per atom
! **Energy of formation**: -23 meV per atom
! **Total magnetic moment**: 1.43 μB/f.u.
&SYSTEM
  ibrav = 0, nat = 3, ntyp = 3
/
ATOMIC_SPECIES
Al 26.98 Al.upf
Fe 55.84 Fe.upf
La 138.91 La.upf
CELL_PARAMETERS angstrom
4.3451 0.0000 0.0000
-2.1725 3.7629 0.0000
0.0000 0.0000 4.1088
ATOMIC_POSITIONS angstrom
Al 0.0000 0.0000 0.6845
Fe 0.0000 2.5086 0.6854
La 2.1725 1.2543 2.7389

=====

# 11
! PBE LaAl4Fe, relaxed; values from VASP
! **N(E_F)**: 0.7793 states/eV per atom
! **Energy of formation**: -22 meV per atom
! **Total magnetic moment**: 0.00 μB/f.u.
&SYSTEM
  ibrav = 0, nat = 12, ntyp = 3
/
ATOMIC_SPECIES
La 138.91 La.upf
Al 26.98 Al.upf
Fe 55.84 Fe.upf
CELL_PARAMETERS angstrom
-4.6882 0.7891 4.2263
-4.1434 -2.4981 -4.1298
1.2268 -6.1975 2.5180
ATOMIC_POSITIONS angstrom
La -1.7307 -2.7042 3.3722
La -1.4583 -4.3478 -0.8059
Al -4.5525 -0.0328 2.1373
Al -6.6237 -1.2820 0.0719
Al -2.2079 -0.4271 0.0246
Al -4.2791 -1.6762 -2.0408
Al 0.3979 -2.0100 0.8166
Al -3.5869 -5.0421 1.7496
Al 0.8289 -4.1876 1.7014
Al -4.0179 -2.8645 0.8649
Fe -4.4158 -0.8545 0.0482
Fe 0.0000 0.0000 0.0000

=====

# 12
! PBE La6Al5Fe9, relaxed; values from VASP
! **N(E_F)**: 1.1152 states/eV per atom
! **Energy of formation**: -222 meV per atom
! **Total magnetic moment**: 16.53 μB/f.u.
&SYSTEM
  ibrav = 0, nat = 40, ntyp = 3
/
ATOMIC_SPECIES
La 138.91 La.upf
Al 26.98 Al.upf
Fe 55.84 Fe.upf
CELL_PARAMETERS angstrom
13.2511 -0.0262 0.0000
8.1932 10.4146 0.0000
-10.7222 -5.1942 5.8007
ATOMIC_POSITIONS angstrom
La 5.3262 -0.6425 4.8727
La 5.3960 5.8368 0.9280
La 5.3262 -0.6425 0.9280
La 3.6571 2.8028 2.9003
La 8.7848 -1.1587 2.9003
La 5.3960 5.8368 4.8727
La 7.0650 2.3914 2.9003
La 1.9374 6.3529 2.9003
La 2.2720 1.1007 0.0000
La 19.1723 9.2878 0.0000
La 8.4502 4.0936 0.0000
La 12.9942 6.2949 0.0000
Al 0.6949 3.5594 4.2726
Al 10.0273 1.6348 1.5281
Al 13.9460 3.5332 1.5281
Al 12.0153 7.5187 2.9003
Al 8.0966 5.6203 2.9003
Al -3.2239 1.6610 4.2726
Al -1.2931 -2.3245 2.9003
Al 2.6256 -0.4261 2.9003
Al 5.3611 2.5971 0.0000
Al 16.0833 7.7913 0.0000
Fe 0.3588 -0.7406 1.6222
Fe 10.3634 5.9348 4.1785
Fe -1.8217 3.7605 4.9778
Fe 11.4294 3.7343 0.8229
Fe 12.5439 1.4337 0.8229
Fe -0.7072 1.4599 4.9778
Fe 10.3634 5.9348 1.6222
Fe 0.3588 -0.7406 4.1785
Fe 2.4509 -2.0355 4.9403
Fe 8.2713 7.2297 0.8604
Fe 10.6441 8.3792 0.8604
Fe 0.8113 1.3491 2.9003
Fe -1.5615 0.1996 2.9003
Fe 0.0781 -3.1849 4.9403
Fe 9.9109 3.8451 2.9003
Fe 12.2837 4.9946 2.9003
Fe 1.2645 -2.6102 2.9003
Fe -1.2645 2.6102 2.9003